No. 1
An optimized crystal structure of Mn2CuRh. Source: Alexandria, functional PBE.

The calculated density comes out at 8.98 g/cm3. The calculation puts the energy at -0.271 hartree per atom. Its crystal system is tetragonal.

a b c (Å): 2.6712 2.6712 7.1646
angles (deg): 90.00 90.00 90.00
Closest atoms and distances in Å follow each position.
Space group P4mm (No. 99)
One atom of each set of equivalent atoms:
Mn (0.0000, 0.0000, 0.0000) [1 per cell]  8 Mn 2.54-2.67, 4 Cu 2.60
Mn (0.5000, 0.5000, 0.2377) [1 per cell]  8 Mn 2.54-2.67, 4 Rh 2.59
Cu (0.5000, 0.5000, 0.7497) [1 per cell]  4 Mn 2.60, 4 Cu 2.67, 4 Rh 2.67
Rh (0.0000, 0.0000, 0.4858) [1 per cell]  4 Mn 2.59, 4 Rh 2.67, 4 Cu 2.67

---

No. 2
An optimized crystal structure of YTa2Cd. Source: Alexandria, functional PBE.

The calculated density comes out at 10.89 g/cm3. The calculation puts the energy at -0.273 hartree per atom. Its crystal system is orthorhombic.

a b c (Å): 3.3806 4.8361 10.5059
angles (deg): 90.00 90.00 90.00
Closest atoms and distances in Å follow each position.
Space group Immm (No. 71)
One atom of each set of equivalent atoms:
Y (0.0000, 0.0000, 0.0000) [2 per cell]  4 Cd 2.95, 4 Ta 3.23
Ta (0.0000, 0.5000, 0.2377) [4 per cell]  4 Ta 2.96, 2 Cd 3.02, 2 Y 3.23
Cd (0.0000, 0.0000, 0.5000) [2 per cell]  4 Y 2.95, 4 Ta 3.02

---

No. 3
An optimized crystal structure of AcAl2SnPd4. Source: Alexandria, functional PBE.

The calculated density comes out at 8.65 g/cm3. The calculation puts the energy at -0.193 hartree per atom. Its crystal system is trigonal.

a b c (Å): 4.3341 4.3341 29.2281
angles (deg): 90.00 90.00 120.00
Closest atoms and distances in Å follow each position.
Space group R-3m (No. 166, hexagonal axes)
One atom of each set of equivalent atoms:
Ac (0.0000, 0.0000, 0.0000) [3 per cell]  8 Pd 3.24-3.59
Al (0.0000, 0.0000, 0.2413) [6 per cell]  6 Pd 2.58-2.66
Sn (0.0000, 0.0000, 0.5000) [3 per cell]  8 Pd 2.81
Pd (0.0000, 0.0000, 0.1228) [6 per cell]  3 Al 2.66, 3 Sn 2.81, 3 Pd 2.93
Pd (0.0000, 0.0000, 0.4039) [6 per cell]  3 Al 2.58, 1 Sn 2.81

---

No. 4
An optimized crystal structure of Tb4Pr2Dy5. Source: Alexandria, functional PBE.

The calculated density comes out at 7.94 g/cm3. Its crystal system is monoclinic. The offset from the most stable computed form is 0.000 eV/f.u.

a b c (Å): 23.9499 3.4688 8.7711
angles (deg): 90.00 96.63 90.00
Closest atoms and distances in Å follow each position.
Space group C2/m (No. 12)
One atom of each set of equivalent atoms:
Tb (0.0458, 0.0000, 0.3601) [4 per cell]  3 Dy 3.27-3.66, 2 Pr 3.31-3.40, 5 Tb 3.47-3.65
Tb (0.1782, 0.5000, 0.4725) [4 per cell]  6 Tb 3.47-3.83, 5 Dy 3.55-3.67, 2 Pr 3.74
Pr (0.0919, 0.0000, 0.7420) [4 per cell]  2 Tb 3.31-3.40, 2 Dy 3.39-3.41, 2 Pr 3.47
Dy (0.0000, 0.5000, 0.0000) [2 per cell]  6 Dy 3.47-3.85, 4 Tb 3.66, 4 Pr 3.76
Dy (0.1415, 0.0000, 0.1223) [4 per cell]  3 Tb 3.27-3.55, 1 Pr 3.41, 5 Dy 3.45-3.59
Dy (0.2335, 0.0000, 0.8264) [4 per cell]  1 Pr 3.39, 7 Dy 3.45-3.59, 3 Tb 3.55-3.67

---

No. 5
An optimized crystal structure of Tl3Re. Source: Alexandria, functional PBE.

The calculated density comes out at 13.98 g/cm3. Its crystal system is orthorhombic. The offset from the most stable computed form is 2.091 eV/f.u.

a b c (Å): 6.3324 9.3570 3.2059
angles (deg): 90.00 90.00 90.00
Closest atoms and distances in Å follow each position.
Space group Cmmm (No. 65)
One atom of each set of equivalent atoms:
Tl (0.0000, 0.0000, 0.0000) [2 per cell]  2 Re 3.17, 10 Tl 3.21-3.25
Tl (0.2500, 0.2500, 0.5000) [4 per cell]  8 Tl 3.17-3.25, 4 Re 3.25
Re (0.0000, 0.5000, 0.0000) [2 per cell]  10 Tl 3.17-3.25, 2 Re 3.21

---

No. 6
An optimized crystal structure of TmSn2Au8. Source: Alexandria, functional PBE.

The calculated density comes out at 14.83 g/cm3. The calculation puts the energy at -0.140 hartree per atom. Its crystal system is monoclinic.

a b c (Å): 16.7121 4.1741 6.5398
angles (deg): 90.00 103.36 90.00
Closest atoms and distances in Å follow each position.
Space group C2/m (No. 12)
One atom of each set of equivalent atoms:
Tm (0.0000, 0.0000, 0.0000) [2 per cell]  12 Au 2.96-3.06
Sn (0.2180, 0.5000, 0.6597) [4 per cell]  7 Au 2.90-3.15
Au (0.0413, 0.5000, 0.7210) [4 per cell]  9 Au 2.90-3.09, 2 Tm 2.96, 1 Sn 3.07
Au (0.0883, 0.0000, 0.4521) [4 per cell]  8 Au 2.92-3.15, 1 Tm 2.98, 2 Sn 3.09
Au (0.1282, 0.5000, 0.1800) [4 per cell]  6 Au 2.90-3.05, 2 Tm 3.03, 1 Sn 3.15
Au (0.1728, 0.0000, 0.9187) [4 per cell]  3 Sn 2.90-2.93, 5 Au 2.90-3.09, 1 Tm 3.06